# NaVGe2

A geometry-optimized NaVGe2 structure (PBE, the Alexandria database).

Results
- density (Mg/m³) = 4.9
- Fermi-level density of states (states/eV/cell) = 5.4
- final energy (eV per atom) = -4.805
- ΔH_f (0 K) (eV per atom) = 0.113

Unit cell a=2.966 b=2.966 c=29.179 alpha=90.00 beta=90.00 gamma=120.00
Fractional positions:
Na 0.000 0.000 0.000
Na 0.333 0.667 0.667
Na 0.667 0.333 0.333
V 0.000 0.000 0.500
V 0.333 0.667 0.167
V 0.667 0.333 0.833
Ge 0.000 0.000 0.097
Ge 0.000 0.000 0.903
Ge 0.333 0.667 0.570
Ge 0.333 0.667 0.764
Ge 0.667 0.333 0.236
Ge 0.667 0.333 0.430

=====

# NaVGe3

A geometry-optimized NaVGe3 structure (PBE, the Alexandria database).

Results
- density (Mg/m³) = 4.4
- Fermi-level density of states (states/eV/cell) = 2.7
- final energy (eV per atom) = -4.848
- ΔH_f (0 K) (eV per atom) = 0.010

Unit cell a=4.785 b=4.785 c=4.785 alpha=90.00 beta=90.00 gamma=90.00
Fractional positions:
Na 0.000 0.000 0.000
V 0.500 0.500 0.500
Ge 0.000 0.500 0.500
Ge 0.500 0.000 0.500
Ge 0.500 0.500 0.000

=====

# Na2VGe

A geometry-optimized Na2VGe structure (PBE, the Alexandria database).

Results
- density (Mg/m³) = 3.0
- Fermi-level density of states (states/eV/cell) = 6.7
- final energy (eV per atom) = -3.518
- ΔH_f (0 K) (eV per atom) = 0.575

Unit cell a=8.431 b=8.431 c=5.233 alpha=90.00 beta=90.00 gamma=90.00
Fractional positions:
Na 0.219 0.750 0.125
Na 0.250 0.219 0.875
Na 0.250 0.281 0.375
Na 0.281 0.750 0.625
Na 0.719 0.250 0.625
Na 0.750 0.719 0.375
Na 0.750 0.781 0.875
Na 0.781 0.250 0.125
V 0.000 0.000 0.500
V 0.000 0.500 0.750
V 0.500 0.000 0.250
V 0.500 0.500 0.000
Ge 0.000 0.000 0.000
Ge 0.000 0.500 0.250
Ge 0.500 0.000 0.750
Ge 0.500 0.500 0.500

=====

# NaV3Ge

A geometry-optimized NaV3Ge structure (PBE, the Alexandria database).

Results
- density (Mg/m³) = 4.1
- Fermi-level density of states (states/eV/cell) = 6.3
- final energy (eV per atom) = -5.535
- ΔH_f (0 K) (eV per atom) = 1.124

Unit cell a=4.637 b=4.637 c=4.637 alpha=90.00 beta=90.00 gamma=90.00
Fractional positions:
Na 0.000 0.000 0.000
V 0.000 0.500 0.500
V 0.500 0.000 0.500
V 0.500 0.500 0.000
Ge 0.500 0.500 0.500

=====

# NaV2Ge2

A geometry-optimized NaV2Ge2 structure (PBE, the Alexandria database).

Results
- density (Mg/m³) = 5.5
- Fermi-level density of states (states/eV/cell) = 8.8
- final energy (eV per atom) = -5.812
- ΔH_f (0 K) (eV per atom) = -0.054

Unit cell a=7.746 b=7.746 c=2.698 alpha=90.00 beta=90.00 gamma=90.00
Fractional positions:
Na 0.000 0.000 0.000
Na 0.500 0.500 0.000
V 0.112 0.388 0.000
V 0.388 0.888 0.000
V 0.612 0.112 0.000
V 0.888 0.612 0.000
Ge 0.178 0.678 0.500
Ge 0.322 0.178 0.500
Ge 0.678 0.822 0.500
Ge 0.822 0.322 0.500

=====

# NaVGe2

A geometry-optimized NaVGe2 structure (PBE, the Alexandria database).

Results
- density (Mg/m³) = 3.6
- Fermi-level density of states (states/eV/cell) = 9.7
- final energy (eV per atom) = -4.549
- ΔH_f (0 K) (eV per atom) = 0.369

Unit cell a=4.961 b=4.961 c=16.582 alpha=90.00 beta=90.00 gamma=90.00
Fractional positions:
Na 0.000 0.000 0.000
Na 0.000 0.500 0.250
Na 0.500 0.000 0.750
Na 0.500 0.500 0.500
V 0.000 0.000 0.500
V 0.000 0.500 0.750
V 0.500 0.000 0.250
V 0.500 0.500 0.000
Ge 0.101 0.250 0.625
Ge 0.250 0.601 0.875
Ge 0.250 0.899 0.375
Ge 0.399 0.250 0.125
Ge 0.601 0.750 0.125
Ge 0.750 0.101 0.375
Ge 0.750 0.399 0.875
Ge 0.899 0.750 0.625

=====

# NaVGe

A geometry-optimized NaVGe structure (PBE, the Alexandria database).

Results
- density (Mg/m³) = 4.1
- Fermi-level density of states (states/eV/cell) = 5.2
- final energy (eV per atom) = -4.737
- ΔH_f (0 K) (eV per atom) = 0.281

Unit cell a=7.379 b=6.278 c=5.009 alpha=80.80 beta=57.13 gamma=42.08
Fractional positions:
Na 0.153 0.847 0.153
Na 0.847 0.153 0.847
V 0.250 0.250 0.250
V 0.750 0.750 0.750
Ge 0.322 0.322 0.678
Ge 0.678 0.678 0.322

=====

# NaV3Ge

A geometry-optimized NaV3Ge structure (PBE, the Alexandria database).

Results
- density (Mg/m³) = 4.9
- Fermi-level density of states (states/eV/cell) = 2.1
- final energy (eV per atom) = -4.660
- ΔH_f (0 K) (eV per atom) = 1.998

Unit cell a=4.387 b=4.387 c=4.387 alpha=90.00 beta=90.00 gamma=90.00
Fractional positions:
Na 0.000 0.000 0.000
V 0.000 0.000 0.500
V 0.000 0.500 0.000
V 0.500 0.000 0.000
Ge 0.500 0.500 0.500